This record from the Alexandria database describes KSr2Cr after structural relaxation. The functional is PBE.

Summary:
ΔH_f (0 K) ... 2.39 eV per formula unit
Raw total energy ... -2.924 eV/atom
ΔE to the lowest computed polymorph ... 160 meV/atom

a = 6.0071 Å, b = 6.0182 Å, c = 4.8215 Å
α = 90.00°, β = 90.00°, γ = 90.00°
Site moments in Bohr magnetons follow the coordinates.
Fractional coordinates of all 4 atoms:
K  0.0000  0.5000  0.5000  -0.01
Sr  0.0000  0.0000  0.0000  -0.01
Sr  0.5000  0.5000  0.0000  -0.01
Cr  0.5000  0.0000  0.5000  4.08

***

This record from the Alexandria database describes KSr2Cr after structural relaxation. The functional is PBE.

Summary:
ΔH_f (0 K) ... 2.20 eV per formula unit
Raw total energy ... -2.970 eV/atom
ΔE to the lowest computed polymorph ... 114 meV/atom

a = 7.7461 Å, b = 7.7461 Å, c = 6.2828 Å
α = 66.02°, β = 66.02°, γ = 31.98°
Site moments in Bohr magnetons follow the coordinates.
Fractional coordinates of all 4 atoms:
Sr  0.7996  0.7996  0.7001  0.01
Sr  0.0031  0.0031  0.9968  0.01
Cr  0.4920  0.4920  0.5087  4.08
K  0.2054  0.2054  0.2944  0.00